VASP calculation (PBE) on a geometry-optimized TaAuS2I structure.

Cell: 4.9560 5.5179 4.9560 Å, 90.00 90.00 90.00°
Positions (direct):
I  0.0000  0.0000  0.0000
S  0.0000  0.0000  0.5000
S  0.5000  0.0000  0.0000
Au  0.5000  0.5000  0.5000
Ta  0.0000  0.5000  0.0000

Properties
Crystal system: tetragonal
Total DFT energy (no corrections) (eV for the cell shown): -16.422
Calculated density (kg/m3): 6971
N(E_F) (states/eV per cell): 4.7
Formation energy (no corrections) (meV per atom): 1703

VASP calculation (PBE) on a geometry-optimized Te2AuSI structure.

Cell: 5.4902 5.4902 5.4104 Å, 90.00 90.00 90.00°
Positions (direct):
I  0.0000  0.0000  0.5000
S  0.5000  0.5000  0.5000
Te  0.0000  0.5000  0.0000
Te  0.5000  0.0000  0.0000
Au  0.0000  0.0000  0.0000

Properties
Crystal system: tetragonal
Total DFT energy (no corrections) (eV for the cell shown): -11.178
Calculated density (kg/m3): 6223
N(E_F) (states/eV per cell): 7.4
Formation energy (no corrections) (meV per atom): 812

VASP calculation (PBE) on a geometry-optimized Te2AuSI structure.

Cell: 5.3411 5.3411 5.2669 Å, 90.00 90.00 90.00°
Positions (direct):
I  0.0000  0.0000  0.5000
S  0.0000  0.0000  0.0000
Te  0.0000  0.5000  0.0000
Te  0.5000  0.0000  0.0000
Au  0.5000  0.5000  0.5000

Properties
Crystal system: tetragonal
Total DFT energy (no corrections) (eV for the cell shown): -11.615
Calculated density (kg/m3): 6754
N(E_F) (states/eV per cell): 5.0
Formation energy (no corrections) (meV per atom): 725

VASP calculation (PBE) on a geometry-optimized TeAuSI2 structure.

Cell: 5.5661 5.5661 5.5731 Å, 90.00 90.00 90.00°
Positions (direct):
I  0.0000  0.5000  0.0000
I  0.5000  0.0000  0.0000
S  0.5000  0.5000  0.5000
Te  0.0000  0.0000  0.5000
Au  0.0000  0.0000  0.0000

Properties
Crystal system: tetragonal
Total DFT energy (no corrections) (eV for the cell shown): -9.998
Calculated density (kg/m3): 5871
N(E_F) (states/eV per cell): 5.8
Formation energy (no corrections) (meV per atom): 730

VASP calculation (PBE) on a geometry-optimized TeAuSI2 structure.

Cell: 5.3931 5.3931 5.4446 Å, 90.00 90.00 90.00°
Positions (direct):
I  0.0000  0.5000  0.0000
I  0.5000  0.0000  0.0000
S  0.0000  0.0000  0.0000
Te  0.0000  0.0000  0.5000
Au  0.5000  0.5000  0.5000

Properties
Crystal system: tetragonal
Total DFT energy (no corrections) (eV for the cell shown): -10.107
Calculated density (kg/m3): 6401
N(E_F) (states/eV per cell): 5.8
Formation energy (no corrections) (meV per atom): 708

VASP calculation (PBE) on a geometry-optimized TiAuS2I structure.

Cell: 4.5404 6.1044 4.5404 Å, 90.00 90.00 90.00°
Positions (direct):
I  0.0000  0.5000  0.0000
S  0.0000  0.0000  0.5000
S  0.5000  0.0000  0.0000
Au  0.5000  0.5000  0.5000
Ti  0.0000  0.0000  0.0000

Properties
Crystal system: tetragonal
Total DFT energy (no corrections) (eV for the cell shown): -22.026
Calculated density (kg/m3): 5751
N(E_F) (states/eV per cell): 1.8
Formation energy (no corrections) (meV per atom): -210

VASP calculation (PBE) on a geometry-optimized Tl2AuSI structure.

Cell: 6.2608 6.2608 4.5865 Å, 90.00 90.00 90.00°
Positions (direct):
I  0.5000  0.5000  0.5000
Tl  0.0000  0.5000  0.0000
Tl  0.5000  0.0000  0.0000
Au  0.0000  0.0000  0.5000
S  0.0000  0.0000  0.0000

Properties
Crystal system: tetragonal
Total DFT energy (no corrections) (eV for the cell shown): -14.938
Calculated density (kg/m3): 7063
N(E_F) (states/eV per cell): 1.0
Formation energy (no corrections) (meV per atom): -250

VASP calculation (PBE) on a geometry-optimized ZnAuSI2 structure.

Cell: 5.7725 4.4431 5.7725 Å, 90.00 90.00 90.00°
Positions (direct):
I  0.0000  0.0000  0.5000
I  0.5000  0.0000  0.0000
Zn  0.0000  0.0000  0.0000
Au  0.5000  0.5000  0.5000
S  0.0000  0.5000  0.0000

Properties
Crystal system: tetragonal
Total DFT energy (no corrections) (eV for the cell shown): -9.631
Calculated density (kg/m3): 6149
N(E_F) (states/eV per cell): 2.8
Formation energy (no corrections) (meV per atom): 430

VASP calculation (PBE) on a geometry-optimized ZnAuSI2 structure.

Cell: 5.7996 4.7330 5.7996 Å, 90.00 90.00 90.00°
Positions (direct):
I  0.0000  0.0000  0.5000
I  0.5000  0.0000  0.0000
Zn  0.5000  0.5000  0.5000
Au  0.0000  0.0000  0.0000
S  0.0000  0.5000  0.0000

Properties
Crystal system: tetragonal
Total DFT energy (no corrections) (eV for the cell shown): -9.526
Calculated density (kg/m3): 5719
N(E_F) (states/eV per cell): 7.3
Formation energy (no corrections) (meV per atom): 451

VASP calculation (PBE) on a geometry-optimized Sb2AuI structure.

Cell: 5.1297 7.1126 13.6310 Å, 89.96 90.00 90.00°
Positions (direct):
Sb  0.8068  0.9124  0.9385
Sb  0.1932  0.0876  0.0615
Sb  0.3069  0.5876  0.5615
Sb  0.6931  0.4124  0.4385
Sb  0.8071  0.4123  0.0616
Sb  0.1929  0.5877  0.9384
Sb  0.3071  0.0877  0.4384
Sb  0.6929  0.9123  0.5616
Au  0.0000  0.2499  0.5883
Au  0.0000  0.7501  0.4117
Au  0.5000  0.2501  0.9117
Au  0.5000  0.7499  0.0883
I  0.2496  0.5351  0.2498
I  0.7504  0.4649  0.7502
I  0.7496  0.9649  0.2502
I  0.2504  0.0351  0.7498

Properties
Crystal system: monoclinic
Total DFT energy (no corrections) (eV for the cell shown): -52.425
Calculated density (kg/m3): 7578
N(E_F) (states/eV per cell): 8.7
Formation energy (no corrections) (meV per atom): -9

VASP calculation (PBE) on a geometry-optimized Sb5AuI2 structure.

Cell: 6.6747 6.5324 9.8441 Å, 113.62 109.81 90.00°
Positions (direct):
Sb  0.7052  0.2150  0.9755
Sb  0.2703  0.2149  0.9755
Sb  0.7256  0.6498  0.9723
Sb  0.2467  0.6498  0.9723
Sb  0.6206  0.5601  0.2411
Au  0.1066  0.8291  0.2132
I  0.2619  0.0461  0.5238
I  0.8402  0.6122  0.6803

Properties
Crystal system: monoclinic
Total DFT energy (no corrections) (eV for the cell shown): -26.504
Calculated density (kg/m3): 4816
N(E_F) (states/eV per cell): 1.2
Formation energy (no corrections) (meV per atom): 61

VASP calculation (PBE) on a geometry-optimized Sb4Au2I3 structure.

Cell: 7.7109 9.3519 9.3519 Å, 78.65 80.89 80.89°
Positions (direct):
Sb  0.8118  0.8685  0.3208
Sb  0.6882  0.6792  0.1315
Sb  0.1882  0.1315  0.6792
Sb  0.3118  0.3208  0.8685
Sb  0.2469  0.2585  0.3660
Sb  0.2531  0.6340  0.7415
Sb  0.7531  0.7415  0.6340
Sb  0.7469  0.3660  0.2585
Au  0.5776  0.1063  0.3651
Au  0.9224  0.6349  0.8937
Au  0.4224  0.8937  0.6349
Au  0.0775  0.3651  0.1063
I  0.1721  0.9715  0.2983
I  0.3279  0.7017  0.0285
I  0.8279  0.0285  0.7017
I  0.6721  0.2983  0.9715
I  0.2500  0.5576  0.4424
I  0.7500  0.4424  0.5576

Properties
Crystal system: monoclinic
Total DFT energy (no corrections) (eV for the cell shown): -55.364
Calculated density (kg/m3): 6474
N(E_F) (states/eV per cell): 6.5
Formation energy (no corrections) (meV per atom): 1